This record from Alexandria via LeMat-Bulk describes a geometry-optimized NaTlHg3 structure. The functional is PBE-GGA.

Lattice parameters (Å, degrees): 3.394 31.127 5.101 90.00 90.00 90.00
Space group Cmcm (No. 63)
Unique sites:
Na  0.000  0.073  0.250 x4
Tl  0.000  0.221  0.750 x4
Hg  0.000  0.328  0.750 x4
Hg  0.000  0.381  0.250 x4
Hg  0.000  0.476  0.250 x4

Computed properties:
raw total energy = -21.105 eV for the cell shown
formation energy = -13.2 kJ/mol of atoms

This record from Alexandria via LeMat-Bulk describes a geometry-optimized Na2Tl8Hg structure. The functional is PBE-GGA.

Lattice parameters (Å, degrees): 12.630 10.500 5.757 90.00 108.42 90.00
Space group C2/m (No. 12)
Unique sites:
Na  0.144  0.000  0.030 x4
Tl  0.083  0.500  0.795 x4
Tl  0.085  0.252  0.308 x8
Tl  0.234  0.500  0.389 x4
Hg  0.000  0.000  0.500 x2

Computed properties:
raw total energy = -43.082 eV for the cell shown
formation energy = 2.9 kJ/mol of atoms

This record from Alexandria via LeMat-Bulk describes a geometry-optimized Na2Tl6Hg structure. The functional is PBE-GGA.

Lattice parameters (Å, degrees): 15.458 4.948 7.270 90.00 109.45 90.00
Space group C2/m (No. 12)
Unique sites:
Na  0.054  0.000  0.312 x4
Tl  0.110  0.500  0.663 x4
Tl  0.169  0.000  0.997 x4
Tl  0.217  0.500  0.324 x4
Hg  0.000  0.500  0.000 x2

Computed properties:
raw total energy = -35.663 eV for the cell shown
formation energy = -7.4 kJ/mol of atoms

What did we get for ρ? Answer: 10.22 8.63 9.33 Mg/m³, in the order shown.